The following is a DFT calculation (PBE with a Hubbard U) of a geometry-optimized RbCeMn2F8 structure.

Calculated values
Electronic total energy ... -5.50 eV per atom
Space-group type ... No. 164
DOS(E_F) ... 0.142 states/eV per atom
Calculated density ... 2.94 Mg/m³

Cell: 6.4273 6.4273 7.6866 Å, 90.00 90.00 120.00°
Element x y z (fractional)
Rb  0.0000  0.0000  0.0000
Ce  0.0000  0.0000  0.5000
Mn  0.3333  0.6667  0.3591
Mn  0.6667  0.3333  0.6409
F  0.1557  0.3113  0.2960
F  0.1557  0.8443  0.2960
F  0.3113  0.1557  0.7040
F  0.3333  0.6667  0.6097
F  0.6667  0.3333  0.3903
F  0.6887  0.8443  0.2960
F  0.8443  0.1557  0.7040
F  0.8443  0.6887  0.7040